[1]
This record from Alexandria describes a PBEsol-optimized structure of Cs2BeIF. The functional is SCAN.

```
5
Lattice="4.268 0.000 0.000 0.000 6.308 0.000 0.000 0.000 6.308" Properties=species:S:1:pos:R:3 pbc="T T T"
Be 2.134 0.000 0.000
F 0.000 0.000 0.000
I 2.134 3.154 3.154
Cs 0.000 0.000 3.154
Cs 0.000 3.154 0.000
```

Results
Formation energy from raw total energies   -1.06 eV/atom
Raw total energy   -25.113 eV per atom


[2]
This record from Alexandria describes a PBEsol-optimized structure of Cs2BeGaRh. The functional is SCAN.

```
5
Lattice="-0.036 2.921 3.017 -2.791 -4.295 4.125 5.955 -1.970 1.978" Properties=species:S:1:pos:R:3 pbc="T T T"
Cs 2.977 -0.985 0.989
Be -0.018 1.461 1.508
Cs -1.396 -2.147 2.063
Rh 1.564 -1.672 4.560
Ga 0.000 0.000 0.000
```

Results
Formation energy from the elements   92.9 kJ/mol of atoms
Raw total energy   -25.056 eV per atom


[3]
This record from Alexandria describes a PBEsol-optimized structure of CsKBeGe2. The functional is SCAN.

```
5
Lattice="-3.154 -0.152 3.403 3.401 -0.404 3.134 0.251 6.023 0.503" Properties=species:S:1:pos:R:3 pbc="T T T"
Be 0.000 0.000 0.000
Ge -1.577 -0.076 1.702
K 0.249 2.734 3.520
Cs 0.126 3.012 0.251
Ge 1.700 -0.202 1.567
```

Results
Formation energy from the elements   35.7 kJ/mol of atoms
Raw total energy   -17.364 eV per atom


[4]
This record from Alexandria describes a PBEsol-optimized structure of CsMgBe2Ge. The functional is SCAN.

```
5
Lattice="5.059 0.000 0.000 0.000 5.059 0.000 0.000 0.000 5.167" Properties=species:S:1:pos:R:3 pbc="T T T"
Cs 2.530 2.530 2.584
Ge 0.000 0.000 2.584
Be 0.000 2.530 0.000
Mg 0.000 0.000 0.000
Be 2.530 0.000 0.000
```

Results
Formation energy from the elements   100.5 kJ/mol of atoms
Raw total energy   -13.074 eV per atom


[5]
This record from Alexandria describes a PBEsol-optimized structure of CsBeGe2N. The functional is SCAN.

```
5
Lattice="4.288 0.000 0.000 0.000 4.288 0.000 0.000 0.000 5.927" Properties=species:S:1:pos:R:3 pbc="T T T"
Ge 2.144 0.000 0.000
Ge 0.000 2.144 0.000
Cs 0.000 0.000 2.963
Be 2.144 2.144 2.963
N 0.000 0.000 0.000
```

Results
Formation energy from raw total energies   1.28 eV/atom
Raw total energy   -16.642 eV per atom


[6]
This record from Alexandria describes a PBEsol-optimized structure of CsBeH3. The functional is SCAN.

```
10
Lattice="-4.587 1.719 1.045 -2.031 -2.582 -4.671 1.063 -6.706 3.244" Properties=species:S:1:pos:R:3 pbc="T T T"
H -3.068 -3.086 -3.688
Be -2.208 -3.085 -2.571
Cs -1.641 -6.707 -0.816
H -1.331 -4.167 -2.355
H -2.200 -1.982 -1.692
H -2.487 -4.483 3.306
H -4.225 -3.402 1.972
H -3.356 -5.586 1.309
Be -3.347 -4.484 2.188
Cs -3.915 -0.862 0.433
```

Results
Raw total energy   -10.692 eV per atom